1.
A PBEsol-optimized structure of Nb10Sn3Ge3, computed with SCAN.

## Properties
Energy, eV per atom: -31.442
Formation energy, eV per formula unit: -6.7
Space-group type: Fmm2
DOS(E_F), states/eV per atom: 0.494

Cell: 5.1605 7.8046 7.8630 Å, 83.77 70.84 70.69°
Closest atoms and distances in Å follow each position.
Element x y z (fractional)
Sn1 0.1649 0.6701 0.0000  10 Nb 2.76-3.01
Nb1 0.2206 0.3546 0.2043  4 Ge 2.75-3.00, 2 Sn 2.78-2.81, 3 Nb 2.97-3.04
Nb2 0.7449 0.0131 0.0000  2 Nb 2.57-2.60, 1 Ge 2.71, 3 Sn 2.83
Nb3 0.9300 0.7866 0.3534  2 Ge 2.72, 4 Sn 2.76-3.02, 2 Nb 3.02
Ge1 0.8314 0.3372 0.0000  6 Nb 2.67-2.71
Ge2 0.2517 0.4966 0.5000  2 Ge 2.58, 8 Nb 2.72-2.75
Nb4 0.7232 0.2120 0.3416  3 Ge 2.70-2.73, 1 Sn 2.85, 2 Nb 2.97
Sn2 0.6702 0.9980 0.6616  10 Nb 2.77-3.02
Ge3 0.7517 0.4966 0.5000  2 Ge 2.58, 8 Nb 2.72-2.75
Nb5 0.2834 0.7866 0.6466  2 Ge 2.72, 4 Sn 2.76-3.02, 2 Nb 3.02
Nb6 0.0648 0.2120 0.6584  3 Ge 2.70-2.73, 1 Sn 2.85, 2 Nb 2.97
Nb7 0.7848 0.6356 0.7948  3 Ge 2.67-2.74, 1 Sn 2.85
Sn3 0.3318 0.9980 0.3384  10 Nb 2.77-3.02
Nb8 0.2420 0.0131 0.0000  2 Nb 2.57-2.60, 1 Ge 2.71, 3 Sn 2.83
Nb9 0.5796 0.6356 0.2052  3 Ge 2.67-2.74, 1 Sn 2.85
Nb10 0.4249 0.3546 0.7957  4 Ge 2.75-3.00, 2 Sn 2.78-2.81, 3 Nb 2.97-3.04

***

2.
A PBEsol-optimized structure of SrNbGe3, computed with SCAN.

## Properties
Energy, eV per atom: -20.774
Formation energy, eV per formula unit: 8.8
Space-group type: Pm-3m
DOS(E_F), states/eV per atom: 0.720

Cell: 5.1836 5.1836 5.1836 Å, 90.00 90.00 90.00°
Closest atoms and distances in Å follow each position.
Element x y z (fractional)
Ge1 0.5000 0.0000 0.0000  2 Sr 2.59
Sr1 0.0000 0.0000 0.0000  6 Ge 2.59
Ge2 0.0000 0.5000 0.0000  2 Sr 2.59
Nb1 0.5000 0.5000 0.5000  12 Ge 3.67
Ge3 0.0000 0.0000 0.5000  2 Sr 2.59

***

3.
A PBEsol-optimized structure of NbTcGe3, computed with SCAN.

## Properties
Energy, eV per atom: -24.275
Formation energy, eV per formula unit: 4.1
Space-group type: Pm-3m
DOS(E_F), states/eV per atom: 0.992

Cell: 4.7048 4.7048 4.7048 Å, 90.00 90.00 90.00°
Closest atoms and distances in Å follow each position.
Element x y z (fractional)
Ge1 0.0000 0.0000 0.5000  2 Tc 2.35
Nb1 0.5000 0.5000 0.5000  12 Ge 3.33
Tc1 0.0000 0.0000 0.0000  6 Ge 2.35
Ge2 0.0000 0.5000 0.0000  2 Tc 2.35
Ge3 0.5000 0.0000 0.0000  2 Tc 2.35

***

4.
A PBEsol-optimized structure of NbGeTe2, computed with SCAN.

## Properties
Energy, eV per atom: -31.001
Uncorrected formation energy, meV/atom: 679
Space-group type: R-3m
DOS(E_F), states/eV per atom: 0.959

Cell: 3.6385 3.6385 9.2204 Å, 78.62 78.62 60.00°
Closest atoms and distances in Å follow each position.
Element x y z (fractional)
Ge1 0.5000 0.5000 0.5000  6 Te 2.80
Te1 0.0979 0.0979 0.7064  1 Nb 2.64, 3 Ge 2.80
Te2 0.9021 0.9021 0.2936  1 Nb 2.64, 3 Ge 2.80
Nb1 0.0000 0.0000 0.0000  2 Te 2.64

***

5.
A PBEsol-optimized structure of Ti5Nb5Ge6, computed with SCAN.

## Properties
Energy, eV per atom: -23.159
Formation energy, eV per formula unit: -10.2
Space-group type: Amm2
DOS(E_F), states/eV per atom: 0.677

Cell: 5.2806 7.5948 7.5948 Å, 119.84 90.00 90.00°
Closest atoms and distances in Å follow each position.
Element x y z (fractional)
Nb1 0.7505 0.3340 0.6669  2 Nb 2.64-2.65, 6 Ge 2.69-2.72
Ge1 0.0000 0.0005 0.3823  5 Ti 2.56-2.81, 4 Nb 2.71-2.72
Ti1 0.0000 0.7444 0.0005  5 Ge 2.56-2.82
Ti2 0.0000 0.0005 0.7444  5 Ge 2.56-2.82
Ge2 0.0000 0.3823 0.0005  5 Ti 2.56-2.81, 4 Nb 2.71-2.72
Ge3 0.0000 0.6177 0.6177  3 Ti 2.57-2.72, 6 Nb 2.71-2.80
Nb2 0.2495 0.6669 0.3340  2 Nb 2.64-2.65, 6 Ge 2.69-2.72
Ge4 0.5000 0.6157 0.0029  4 Ti 2.57-2.82, 5 Nb 2.60-2.72
Ge5 0.5000 0.0029 0.6157  4 Ti 2.57-2.82, 5 Nb 2.60-2.72
Ti3 0.5000 0.2568 0.9991  5 Ge 2.55-2.81
Ge6 0.5000 0.3790 0.3790  4 Ti 2.55-2.79, 5 Nb 2.72-2.74
Nb3 0.5000 0.7394 0.7394  5 Ge 2.60-2.80
Ti4 0.5000 0.9991 0.2568  5 Ge 2.55-2.81
Nb4 0.2495 0.3340 0.6669  2 Nb 2.64-2.65, 6 Ge 2.69-2.72
Ti5 0.0000 0.2598 0.2598  5 Ge 2.56-2.79
Nb5 0.7505 0.6669 0.3340  2 Nb 2.64-2.65, 6 Ge 2.69-2.72

***

6.
A PBEsol-optimized structure of Ti2NbGe2, computed with SCAN.

## Properties
Energy, eV per atom: -21.397
Formation energy, eV per formula unit: -3.6
Space-group type: P4/mbm
DOS(E_F), states/eV per atom: 0.462

Cell: 3.4274 6.7911 6.7911 Å, 90.00 90.00 90.00°
Closest atoms and distances in Å follow each position.
Element x y z (fractional)
Nb1 0.0000 0.0000 0.0000  4 Ge 2.66
Ti1 0.5000 0.1707 0.6707  6 Ge 2.56-2.68
Ti2 0.5000 0.6707 0.8293  6 Ge 2.56-2.68
Ge1 0.0000 0.8690 0.6310  1 Ge 2.52, 6 Ti 2.56-2.68, 2 Nb 2.66
Ti3 0.5000 0.8293 0.3293  6 Ge 2.56-2.68
Ge2 0.0000 0.3690 0.8690  1 Ge 2.52, 6 Ti 2.56-2.68, 2 Nb 2.66
Ge3 0.0000 0.6310 0.1310  1 Ge 2.52, 6 Ti 2.56-2.68, 2 Nb 2.66
Ge4 0.0000 0.1310 0.3690  1 Ge 2.52, 6 Ti 2.56-2.68, 2 Nb 2.66
Nb2 0.0000 0.5000 0.5000  4 Ge 2.66
Ti4 0.5000 0.3293 0.1707  6 Ge 2.56-2.68

***

7.
A PBEsol-optimized structure of TiNb2Ge2, computed with SCAN.

## Properties
Energy, eV per atom: -24.758
Formation energy, eV per formula unit: -3.3
Space-group type: P4/mbm
DOS(E_F), states/eV per atom: 0.268

Cell: 3.5425 6.7522 6.7522 Å, 90.00 90.00 90.00°
Closest atoms and distances in Å follow each position.
Element x y z (fractional)
Ti1 0.0000 0.5000 0.5000  4 Ge 2.63
Ge1 0.0000 0.3667 0.8667  1 Ge 2.55, 6 Nb 2.59-2.71, 2 Ti 2.63
Nb1 0.5000 0.8309 0.3309  6 Ge 2.59-2.71
Ge2 0.0000 0.6333 0.1333  1 Ge 2.55, 6 Nb 2.59-2.71, 2 Ti 2.63
Nb2 0.5000 0.3309 0.1691  6 Ge 2.59-2.71
Ge3 0.0000 0.1333 0.3667  1 Ge 2.55, 6 Nb 2.59-2.71, 2 Ti 2.63
Ti2 0.0000 0.0000 0.0000  4 Ge 2.63
Nb3 0.5000 0.6691 0.8309  6 Ge 2.59-2.71
Nb4 0.5000 0.1691 0.6691  6 Ge 2.59-2.71
Ge4 0.0000 0.8667 0.6333  1 Ge 2.55, 6 Nb 2.59-2.71, 2 Ti 2.63

***

8.
A PBEsol-optimized structure of Nb3GeW, computed with SCAN.

## Properties
Energy, eV per atom: -36.349
Formation energy, eV per formula unit: 6.4
Space-group type: Pm-3m
DOS(E_F), states/eV per atom: 0.506

Cell: 4.8140 4.8140 4.8140 Å, 90.00 90.00 90.00°
Closest atoms and distances in Å follow each position.
Element x y z (fractional)
Nb1 0.0000 0.5000 0.0000  2 W 2.41
Nb2 0.5000 0.0000 0.0000  2 W 2.41
W1 0.0000 0.0000 0.0000  6 Nb 2.41
Nb3 0.0000 0.0000 0.5000  2 W 2.41
Ge1 0.5000 0.5000 0.5000  12 Nb 3.40

***

9.
A PBEsol-optimized structure of YNb3Ge, computed with SCAN.

## Properties
Energy, eV per atom: -28.739
Formation energy, eV per formula unit: 2.6
Space-group type: Pm-3m
DOS(E_F), states/eV per atom: 1.400

Cell: 4.8258 4.8258 4.8258 Å, 90.00 90.00 90.00°
Closest atoms and distances in Å follow each position.
Element x y z (fractional)
Nb1 0.0000 0.5000 0.0000  2 Ge 2.41
Nb2 0.0000 0.0000 0.5000  2 Ge 2.41
Nb3 0.5000 0.0000 0.0000  2 Ge 2.41
Ge1 0.0000 0.0000 0.0000  6 Nb 2.41
Y1 0.5000 0.5000 0.5000  12 Nb 3.41